No. 1
The following is a DFT calculation (PBE) of SmTl2Hg after structural relaxation.

Geometry as CIF:
```
data_SmTl2Hg
_space_group_name_H-M_alt 'P 4/m m m'
_space_group_IT_number 123
_space_group_name_Hall '-P 4 2'
_cell_length_a 4.766
_cell_length_b 4.766
_cell_length_c 4.715
_cell_angle_alpha 90.00
_cell_angle_beta 90.00
_cell_angle_gamma 90.00
loop_
_atom_site_label
_atom_site_fract_x
_atom_site_fract_y
_atom_site_fract_z
_atom_site_occupancy
Sm1 0.000 0.000 0.000 1
Tl1 0.000 0.500 0.500 1
Hg1 0.500 0.500 0.000 1
```

Results
calculated total energy: -10.96 eV/cell
DOS at the Fermi energy: 2.96 states/eV per cell
calculated formation energy: -29.0 kJ per mole of atoms

No. 2
The following is a DFT calculation (PBE) of PrY5Th2 after structural relaxation.

Geometry as CIF:
```
data_PrY5Th2
_space_group_name_H-M_alt 'I m m m'
_space_group_IT_number 71
_space_group_name_Hall '-I 2 2'
_cell_length_a 3.553
_cell_length_b 11.278
_cell_length_c 13.373
_cell_angle_alpha 90.00
_cell_angle_beta 90.00
_cell_angle_gamma 90.00
loop_
_atom_site_label
_atom_site_fract_x
_atom_site_fract_y
_atom_site_fract_z
_atom_site_occupancy
Pr1 0.000 0.000 0.000 1
Y1 0.000 0.229 0.368 1
Y2 0.000 0.500 0.000 1
Th1 0.000 0.500 0.261 1
```

Results
calculated total energy: -102.37 eV/cell
DOS at the Fermi energy: 26.20 states/eV per cell
calculated formation energy: 9.1 kJ per mole of atoms

No. 3
The following is a DFT calculation (PBE) of CoSb2C2 after structural relaxation.

Geometry as CIF:
```
data_CoSb2C2
_space_group_name_H-M_alt 'I 4/m m m'
_space_group_IT_number 139
_space_group_name_Hall '-I 4 2'
_cell_length_a 5.235
_cell_length_b 5.235
_cell_length_c 5.494
_cell_angle_alpha 90.00
_cell_angle_beta 90.00
_cell_angle_gamma 90.00
loop_
_atom_site_label
_atom_site_fract_x
_atom_site_fract_y
_atom_site_fract_z
_atom_site_occupancy
Co1 0.000 0.000 0.000 1
Sb1 0.000 0.500 0.250 1
C1 0.000 0.000 0.378 1
```

Results
calculated total energy: -57.61 eV/cell
DOS at the Fermi energy: 5.39 states/eV per cell
relative energy among the computed polymorphs: 0.000 eV/atom

No. 4
The following is a DFT calculation (PBE) of K2RuPb after structural relaxation.

Geometry as CIF:
```
data_K2RuPb
_space_group_name_H-M_alt 'I -4 2 d'
_space_group_IT_number 122
_space_group_name_Hall 'I -4 2bw'
_cell_length_a 12.222
_cell_length_b 12.222
_cell_length_c 5.213
_cell_angle_alpha 90.00
_cell_angle_beta 90.00
_cell_angle_gamma 90.00
loop_
_atom_site_label
_atom_site_fract_x
_atom_site_fract_y
_atom_site_fract_z
_atom_site_occupancy
K1 0.073 0.250 0.125 1
Ru1 0.000 0.000 0.000 1
Pb1 0.000 0.000 0.500 1
```

Results
calculated total energy: -50.09 eV/cell
DOS at the Fermi energy: 16.11 states/eV per cell
calculated formation energy: 64.1 kJ per mole of atoms

No. 5
The following is a DFT calculation (PBE) of NiMo2W after structural relaxation.

Geometry as CIF:
```
data_NiMo2W
_space_group_name_H-M_alt 'F m -3 m'
_space_group_IT_number 225
_space_group_name_Hall '-F 4 2 3'
_cell_length_a 6.205
_cell_length_b 6.205
_cell_length_c 6.205
_cell_angle_alpha 90.00
_cell_angle_beta 90.00
_cell_angle_gamma 90.00
loop_
_atom_site_label
_atom_site_fract_x
_atom_site_fract_y
_atom_site_fract_z
_atom_site_occupancy
Ni1 0.000 0.000 0.000 1
Mo1 0.250 0.250 0.250 1
W1 0.000 0.000 0.500 1
```

Results
calculated total energy: -158.13 eV/cell
DOS at the Fermi energy: 8.04 states/eV per cell
relative energy among the computed polymorphs: 0.167 eV/atom
calculated formation energy: 20.8 kJ per mole of atoms